Record 1
Computed, not measured: crystalline Y2HoAg4Ge4 at its relaxed geometry at the PBE level of DFT. Values from VASP.

Output
E	-4.824	eV per atom

```
&SYSTEM
  ibrav = 0, nat = 11, ntyp = 4
/
ATOMIC_SPECIES
Y 88.91 Y.upf
Ho 164.93 Ho.upf
Ag 107.87 Ag.upf
Ge 72.64 Ge.upf
ATOMIC_POSITIONS crystal
Y 0.126 0.126 0.000
Y 0.874 0.874 0.000
Ho 0.500 0.000 0.500
Ag 0.133 0.331 0.802
Ag 0.472 0.669 0.802
Ag 0.528 0.331 0.198
Ag 0.867 0.669 0.198
Ge 0.185 0.500 0.685
Ge 0.284 0.784 0.500
Ge 0.716 0.216 0.500
Ge 0.815 0.500 0.315
CELL_PARAMETERS angstrom
-2.173 3.559 7.263
2.173 -3.559 7.263
2.173 3.559 -7.263
```


Record 2
Computed, not measured: crystalline ZrPaPd at its relaxed geometry at the PBE level of DFT. Values from VASP.

Output
energy of formation	0.132	eV per atom

```
&SYSTEM
  ibrav = 0, nat = 3, ntyp = 3
/
ATOMIC_SPECIES
Zr 91.22 Zr.upf
Pa 231.04 Pa.upf
Pd 106.42 Pd.upf
ATOMIC_POSITIONS crystal
Zr 0.000 0.000 0.000
Pa 0.500 0.500 0.500
Pd 0.750 0.750 0.750
CELL_PARAMETERS angstrom
0.000 3.340 3.340
3.340 0.000 3.340
3.340 3.340 0.000
```


Record 3
Computed, not measured: crystalline CoPbW4N2 at its relaxed geometry at the PBE level of DFT. Values from VASP.

Output
E	-9.431	eV per atom

```
&SYSTEM
  ibrav = 0, nat = 8, ntyp = 4
/
ATOMIC_SPECIES
Co 58.93 Co.upf
Pb 207.20 Pb.upf
W 183.84 W.upf
N 14.01 N.upf
ATOMIC_POSITIONS crystal
Co 0.000 0.000 0.000
Pb 0.667 0.333 0.500
W 0.000 0.000 0.314
W 0.000 0.000 0.686
W 0.667 0.333 0.133
W 0.667 0.333 0.867
N 0.333 0.667 0.226
N 0.333 0.667 0.774
CELL_PARAMETERS angstrom
2.898 0.000 0.000
-1.449 2.510 0.000
0.000 0.000 15.441
```


Record 4
Computed, not measured: crystalline Cd2SnSe3 at its relaxed geometry at the PBE level of DFT. Values from VASP.

Output
E	-3.081	eV per atom

```
&SYSTEM
  ibrav = 0, nat = 12, ntyp = 3
/
ATOMIC_SPECIES
Cd 112.41 Cd.upf
Sn 118.71 Sn.upf
Se 78.96 Se.upf
ATOMIC_POSITIONS crystal
Cd 0.000 0.000 0.000
Cd 0.000 0.000 0.500
Cd 0.486 0.514 0.750
Cd 0.514 0.486 0.250
Sn 0.228 0.772 0.250
Sn 0.772 0.228 0.750
Se 0.109 0.891 0.750
Se 0.363 0.637 0.564
Se 0.363 0.637 0.936
Se 0.637 0.363 0.064
Se 0.637 0.363 0.436
Se 0.891 0.109 0.250
CELL_PARAMETERS angstrom
2.046 -6.860 0.000
2.046 6.860 0.000
0.000 0.000 11.010
```